Entry 1:
Crystalline Tl2AgAsI at its relaxed geometry, computed with PBE-GGA.

Cell: 6.026 6.026 4.898 Å, 90.00 90.00 90.00°
Atoms (fractional coordinates):
Tl (0.000, 0.500, 0.000)
Tl (0.500, 0.000, 0.000)
Ag (0.000, 0.000, 0.500)
I (0.500, 0.500, 0.500)
As (0.000, 0.000, 0.000)

Results
formation energy without anion corrections: -0.317 eV per formula unit
crystal system: tetragonal
SG: P4/mmm, No. 123
density: 6708 kg/m³

Entry 2:
Crystalline Nd2Tl3SnTe6 at its relaxed geometry, computed with PBE-GGA.

Cell: 4.511 9.625 10.635 Å, 106.36 102.24 90.00°
Atoms (fractional coordinates):
Te (0.341, 0.900, 0.682)
Te (0.994, 0.766, 0.988)
Te (0.673, 0.572, 0.345)
Te (0.659, 0.100, 0.318)
Te (0.006, 0.234, 0.012)
Te (0.327, 0.428, 0.655)
Nd (0.833, 0.665, 0.666)
Nd (0.167, 0.335, 0.334)
Tl (0.168, 0.839, 0.336)
Tl (0.500, 0.500, 0.000)
Tl (0.832, 0.161, 0.664)
Sn (0.500, 0.000, 0.000)

Results
formation energy without anion corrections: -9.451 eV per formula unit
crystal system: monoclinic
SG: C2/m, No. 12
density: 6863 kg/m³

Entry 3:
Crystalline CrIn2Si at its relaxed geometry, computed with PBE-GGA.

Cell: 6.384 6.384 6.384 Å, 153.05 136.18 52.20°
Site moments in Bohr magnetons follow the coordinates.
Atoms (fractional coordinates):
Cr (0.734, 0.234, 0.500)  2.82
In (0.251, 0.751, 0.500)  -0.07
In (0.957, 0.957, 0.000)  0.00
Si (0.558, 0.558, 0.000)  -0.02

Results
formation energy without anion corrections: 1.333 eV per formula unit
ΔE to the lowest computed polymorph: 111 meV per atom
crystal system: orthorhombic
SG: Imm2, No. 44
density: 6327 kg/m³

Entry 4:
Crystalline AgIF2 at its relaxed geometry, computed with PBE-GGA.

Cell: 8.590 8.590 8.590 Å, 22.22 22.22 22.22°
Site moments in Bohr magnetons follow the coordinates.
Atoms (fractional coordinates):
I (0.500, 0.500, 0.500)  0.44
F (0.918, 0.918, 0.918)  0.10
F (0.082, 0.082, 0.082)  0.10
Ag (0.000, 0.000, 0.000)  0.01

Results
formation energy without anion corrections: -2.083 eV per formula unit
ΔE to the lowest computed polymorph: 333 meV per atom
crystal system: trigonal
SG: R-3m, No. 166
density: 5699 kg/m³